ErAlBr (GGA-PBE, optimized geometry); energy = -4.229 eV per atom; energy relative to the elements, uncorrected = -0.90 eV per atom; space group = C2/m, No. 12
1.0
3.357 -1.938 0.000
3.357 1.938 0.000
-1.895 0.000 13.195
Er Al Br
2 2 2
Cartesian
0.172 0.000 3.877
4.647 0.000 9.318
0.171 0.000 7.302
4.648 0.000 5.892
2.410 0.000 2.039
2.410 0.000 11.155


LaAgHg5 (GGA-PBE, optimized geometry); energy = -1.568 eV per atom; energy of formation = -1.691 eV per formula unit; space group = P4/mmm, No. 123
1.0
4.945 0.000 0.000
0.000 4.945 0.000
0.000 0.000 7.505
La Ag Hg
1 1 5
Cartesian
0.000 0.000 0.000
0.000 0.000 3.752
0.000 2.473 2.191
0.000 2.473 5.314
2.473 0.000 2.191
2.473 0.000 5.314
2.473 2.473 0.000


Number 1: magnetic moment 0.00 μB per formula unit. Number 2: magnetic moment 0.00 μB per formula unit.